DFT (PBE) results for a relaxed structure of Mg6AgRh.

Properties
DOS(E_F)	6.05	states/eV per cell
calculated volume	352	Å³ per cell
uncorrected energy	-2.49	eV/atom

a b c (Å): 6.015 10.381 6.207
angles (deg): 90.00 114.78 90.00
Space group C2/m (No. 12)
Inequivalent atoms, fractional coordinates:
Mg 0.235 0.200 0.242
Mg 0.245 0.000 0.759
Ag 0.000 0.500 0.500
Rh 0.000 0.000 0.000

=====

DFT (PBE) results for a relaxed structure of Mg2AgRh.

Properties
DOS(E_F)	1.73	states/eV per cell
calculated volume	69	Å³ per cell
uncorrected energy	-3.56	eV/atom

a b c (Å): 3.018 4.056 5.623
angles (deg): 90.00 90.00 90.00
Space group Pmm2 (No. 25)
Inequivalent atoms, fractional coordinates:
Mg 0.000 0.000 0.000
Mg 0.500 0.500 0.310
Ag 0.500 0.500 0.781
Rh 0.000 0.000 0.493

=====

DFT (PBE) results for a relaxed structure of Mg4AgRh2.

Properties
DOS(E_F)	17.03	states/eV per cell
calculated volume	499	Å³ per cell
uncorrected energy	-3.63	eV/atom

a b c (Å): 7.909 7.909 7.980
angles (deg): 90.00 90.00 90.00
Space group I-42d (No. 122)
Inequivalent atoms, fractional coordinates:
Mg 0.081 0.166 0.309
Ag 0.000 0.000 0.000
Rh 0.138 0.250 0.625

=====

DFT (PBE) results for a relaxed structure of Mg2AgRh2.

Properties
DOS(E_F)	4.10	states/eV per cell
calculated volume	162	Å³ per cell
uncorrected energy	-4.33	eV/atom

a b c (Å): 7.191 7.191 3.133
angles (deg): 90.00 90.00 90.00
Space group P4/mbm (No. 127)
Inequivalent atoms, fractional coordinates:
Mg 0.141 0.359 0.000
Ag 0.000 0.000 0.000
Rh 0.156 0.656 0.500

=====

DFT (PBE) results for a relaxed structure of Mg2AgRh.

Properties
DOS(E_F)	3.32	states/eV per cell
calculated volume	135	Å³ per cell
uncorrected energy	-3.63	eV/atom

a b c (Å): 3.934 3.934 8.705
angles (deg): 90.00 90.00 90.00
Space group I-4m2 (No. 119)
Inequivalent atoms, fractional coordinates:
Mg 0.000 0.000 0.000
Mg 0.000 0.500 0.250
Ag 0.000 0.000 0.500
Rh 0.000 0.500 0.750

=====

DFT (PBE) results for a relaxed structure of Mg6Ag2Rh.

Properties
DOS(E_F)	3.48	states/eV per cell
calculated volume	168	Å³ per cell
uncorrected energy	-2.73	eV/atom

a b c (Å): 4.7050 4.7050 8.7788
angles (deg): 90.00 90.00 120.00
Space group P-3m1 (No. 164)
Inequivalent atoms, fractional coordinates:
Mg 0.0000 0.0000 0.1980
Mg 0.3333 0.6667 0.0558
Mg 0.3333 0.6667 0.4115
Ag 0.3333 0.6667 0.7295
Rh 0.0000 0.0000 0.5000

=====

DFT (PBE) results for a relaxed structure of Mg2AgRh.

Properties
DOS(E_F)	8.20	states/eV per cell
calculated volume	273	Å³ per cell
uncorrected energy	-3.55	eV/atom

a b c (Å): 6.486 6.486 6.486
angles (deg): 90.00 90.00 90.00
Space group F-43m (No. 216)
Inequivalent atoms, fractional coordinates:
Mg 0.000 0.000 0.000
Mg 0.250 0.250 0.250
Ag 0.000 0.000 0.500
Rh 0.250 0.250 0.750

=====

DFT (PBE) results for a relaxed structure of Mg2AgRh.

Properties
DOS(E_F)	3.55	states/eV per cell
calculated volume	136	Å³ per cell
uncorrected energy	-3.64	eV/atom

a b c (Å): 3.252 4.415 9.456
angles (deg): 90.00 90.00 90.00
Space group Imm2 (No. 44)
Inequivalent atoms, fractional coordinates:
Mg 0.000 0.000 0.000
Mg 0.000 0.500 0.227
Ag 0.000 0.000 0.475
Rh 0.000 0.500 0.728